# ZnAg

ZnAg after structural relaxation (GGA-PBE, Alexandria via LeMat-Bulk).

Unit cell a=2.872 b=7.662 c=13.281 alpha=90.33 beta=90.00 gamma=90.00
Element x y z (fractional)
Zn1 0.000 0.000 0.000
Zn2 0.000 0.004 0.304
Zn3 0.000 0.348 0.987
Zn4 0.000 0.504 0.499
Zn5 0.000 0.844 0.817
Zn6 0.000 0.854 0.485
Zn7 0.499 0.349 0.650
Zn8 0.501 0.847 0.153
Zn9 0.999 0.352 0.318
Ag1 0.000 0.544 0.153
Ag2 0.499 0.159 0.839
Ag3 0.499 0.173 0.466
Ag4 0.499 0.201 0.153
Ag5 0.499 0.707 0.647
Ag6 0.500 0.673 0.337
Ag7 0.500 0.675 0.971
Ag8 0.999 0.047 0.652
Ag9 0.999 0.496 0.804

Computed properties:
Energy relative to the elements = -0.92 kcal/mol of atoms
Uncorrected energy = -2.103 eV/atom

# ZnAg2

ZnAg2 after structural relaxation (GGA-PBE, Alexandria via LeMat-Bulk).

Unit cell a=9.774 b=2.990 c=7.507 alpha=90.00 beta=113.37 gamma=90.00
Element x y z (fractional)
Zn1 0.186 0.000 0.093
Zn2 0.314 0.500 0.907
Zn3 0.686 0.500 0.093
Zn4 0.814 0.000 0.907
Ag1 0.003 0.500 0.219
Ag2 0.162 0.000 0.583
Ag3 0.338 0.500 0.417
Ag4 0.497 0.000 0.781
Ag5 0.503 0.000 0.219
Ag6 0.662 0.500 0.583
Ag7 0.838 0.000 0.417
Ag8 0.997 0.500 0.781

Computed properties:
Energy relative to the elements = -0.60 kcal/mol of atoms
Uncorrected energy = -2.352 eV/atom

# ZnAg

ZnAg after structural relaxation (GGA-PBE, Alexandria via LeMat-Bulk).

Unit cell a=10.038 b=10.038 c=2.768 alpha=90.00 beta=90.00 gamma=90.00
Element x y z (fractional)
Zn1 0.091 0.638 0.000
Zn2 0.138 0.409 0.500
Zn3 0.362 0.091 0.000
Zn4 0.409 0.862 0.500
Zn5 0.591 0.138 0.500
Zn6 0.638 0.909 0.000
Zn7 0.862 0.591 0.500
Zn8 0.909 0.362 0.000
Ag1 0.106 0.171 0.000
Ag2 0.171 0.894 0.000
Ag3 0.329 0.606 0.500
Ag4 0.394 0.329 0.500
Ag5 0.606 0.671 0.500
Ag6 0.671 0.394 0.500
Ag7 0.829 0.106 0.000
Ag8 0.894 0.829 0.000

Computed properties:
Energy relative to the elements = 2.45 kcal/mol of atoms
Uncorrected energy = -1.956 eV/atom

# ZnAg2

ZnAg2 after structural relaxation (GGA-PBE, Alexandria via LeMat-Bulk).

Unit cell a=2.848 b=2.848 c=25.724 alpha=90.00 beta=90.00 gamma=90.00
Element x y z (fractional)
Zn1 0.000 0.250 0.375
Zn2 0.000 0.750 0.625
Zn3 0.500 0.250 0.125
Zn4 0.500 0.750 0.875
Ag1 0.000 0.250 0.799
Ag2 0.000 0.250 0.951
Ag3 0.000 0.750 0.049
Ag4 0.000 0.750 0.201
Ag5 0.500 0.250 0.549
Ag6 0.500 0.250 0.701
Ag7 0.500 0.750 0.299
Ag8 0.500 0.750 0.451

Computed properties:
Energy relative to the elements = 1.13 kcal/mol of atoms
Uncorrected energy = -2.277 eV/atom

# Zn2Ag5

Zn2Ag5 after structural relaxation (GGA-PBE, Alexandria via LeMat-Bulk).

Unit cell a=6.941 b=6.941 c=7.547 alpha=94.26 beta=94.26 gamma=40.82
Element x y z (fractional)
Zn1 0.108 0.741 0.893
Zn2 0.259 0.892 0.607
Zn3 0.741 0.108 0.393
Zn4 0.892 0.259 0.107
Ag1 0.040 0.392 0.822
Ag2 0.181 0.549 0.538
Ag3 0.305 0.695 0.250
Ag4 0.392 0.040 0.322
Ag5 0.451 0.819 0.962
Ag6 0.549 0.181 0.038
Ag7 0.608 0.960 0.678
Ag8 0.695 0.305 0.750
Ag9 0.819 0.451 0.462
Ag10 0.960 0.608 0.178

Computed properties:
Energy relative to the elements = -0.39 kcal/mol of atoms
Uncorrected energy = -2.418 eV/atom

# Zn5Ag4

Zn5Ag4 after structural relaxation (GGA-PBE, Alexandria via LeMat-Bulk).

Unit cell a=6.297 b=6.297 c=6.297 alpha=96.04 beta=96.04 gamma=142.15
Element x y z (fractional)
Zn1 0.000 0.000 0.000
Zn2 0.336 0.336 0.673
Zn3 0.336 0.664 0.000
Zn4 0.664 0.336 0.000
Zn5 0.664 0.664 0.327
Ag1 0.000 0.322 0.322
Ag2 0.000 0.678 0.678
Ag3 0.322 0.000 0.322
Ag4 0.678 0.000 0.678

Computed properties:
Energy relative to the elements = -0.67 kcal/mol of atoms
Uncorrected energy = -2.004 eV/atom

# ZnAg

ZnAg after structural relaxation (GGA-PBE, Alexandria via LeMat-Bulk).

Unit cell a=2.772 b=4.678 c=5.541 alpha=90.00 beta=90.00 gamma=90.00
Element x y z (fractional)
Zn1 0.000 0.000 0.000
Zn2 0.500 0.500 0.500
Ag1 0.000 0.000 0.500
Ag2 0.500 0.500 0.000

Computed properties:
Energy relative to the elements = 2.58 kcal/mol of atoms
Uncorrected energy = -1.951 eV/atom

# ZnAg2

ZnAg2 after structural relaxation (GGA-PBE, Alexandria via LeMat-Bulk).

Unit cell a=6.214 b=6.214 c=6.214 alpha=90.00 beta=90.00 gamma=90.00
Element x y z (fractional)
Zn1 0.000 0.000 0.000
Zn2 0.000 0.500 0.500
Zn3 0.500 0.000 0.500
Zn4 0.500 0.500 0.000
Ag1 0.133 0.633 0.867
Ag2 0.133 0.867 0.367
Ag3 0.367 0.133 0.867
Ag4 0.367 0.367 0.367
Ag5 0.633 0.633 0.633
Ag6 0.633 0.867 0.133
Ag7 0.867 0.133 0.633
Ag8 0.867 0.367 0.133

Computed properties:
Energy relative to the elements = 6.99 kcal/mol of atoms
Uncorrected energy = -2.022 eV/atom

# ZnAg3

ZnAg3 after structural relaxation (GGA-PBE, Alexandria via LeMat-Bulk).

Unit cell a=4.037 b=4.037 c=16.750 alpha=90.00 beta=90.00 gamma=90.00
Element x y z (fractional)
Zn1 0.000 0.000 0.127
Zn2 0.000 0.000 0.873
Zn3 0.500 0.500 0.373
Zn4 0.500 0.500 0.627
Ag1 0.000 0.000 0.376
Ag2 0.000 0.000 0.624
Ag3 0.000 0.500 0.000
Ag4 0.000 0.500 0.250
Ag5 0.000 0.500 0.500
Ag6 0.000 0.500 0.750
Ag7 0.500 0.000 0.000
Ag8 0.500 0.000 0.250
Ag9 0.500 0.000 0.500
Ag10 0.500 0.000 0.750
Ag11 0.500 0.500 0.124
Ag12 0.500 0.500 0.876

Computed properties:
Energy relative to the elements = -0.21 kcal/mol of atoms
Uncorrected energy = -2.466 eV/atom

# Zn3Ag2

Zn3Ag2 after structural relaxation (GGA-PBE, Alexandria via LeMat-Bulk).

Unit cell a=9.437 b=2.863 c=6.972 alpha=90.00 beta=122.04 gamma=90.00
Element x y z (fractional)
Zn1 0.000 0.000 0.000
Zn2 0.103 0.500 0.394
Zn3 0.397 0.000 0.606
Zn4 0.500 0.500 0.000
Zn5 0.603 0.000 0.394
Zn6 0.897 0.500 0.606
Ag1 0.193 0.000 0.787
Ag2 0.307 0.500 0.213
Ag3 0.693 0.500 0.787
Ag4 0.807 0.000 0.213

Computed properties:
Energy relative to the elements = -0.58 kcal/mol of atoms
Uncorrected energy = -1.930 eV/atom

# ZnAg3

ZnAg3 after structural relaxation (GGA-PBE, Alexandria via LeMat-Bulk).

Unit cell a=4.965 b=9.502 c=5.804 alpha=90.00 beta=90.00 gamma=90.00
Element x y z (fractional)
Zn1 0.087 0.250 0.118
Zn2 0.413 0.750 0.618
Zn3 0.587 0.250 0.382
Zn4 0.913 0.750 0.882
Ag1 0.082 0.250 0.618
Ag2 0.244 0.504 0.872
Ag3 0.244 0.996 0.872
Ag4 0.256 0.004 0.372
Ag5 0.256 0.496 0.372
Ag6 0.418 0.750 0.118
Ag7 0.582 0.250 0.882
Ag8 0.744 0.504 0.628
Ag9 0.744 0.996 0.628
Ag10 0.756 0.004 0.128
Ag11 0.756 0.496 0.128
Ag12 0.918 0.750 0.382

Computed properties:
Energy relative to the elements = -0.14 kcal/mol of atoms
Uncorrected energy = -2.463 eV/atom

# ZnAg

ZnAg after structural relaxation (GGA-PBE, Alexandria via LeMat-Bulk).

Unit cell a=7.394 b=7.394 c=4.541 alpha=90.00 beta=90.00 gamma=120.00
Element x y z (fractional)
Zn1 0.049 0.248 0.250
Zn2 0.199 0.951 0.250
Zn3 0.248 0.199 0.750
Zn4 0.752 0.801 0.250
Zn5 0.801 0.049 0.750
Zn6 0.951 0.752 0.750
Ag1 0.092 0.464 0.750
Ag2 0.372 0.908 0.750
Ag3 0.464 0.372 0.250
Ag4 0.536 0.628 0.750
Ag5 0.628 0.092 0.250
Ag6 0.908 0.536 0.250

Computed properties:
Energy relative to the elements = 2.12 kcal/mol of atoms
Uncorrected energy = -1.971 eV/atom

# Zn4Ag3

Zn4Ag3 after structural relaxation (GGA-PBE, Alexandria via LeMat-Bulk).

Unit cell a=2.878 b=3.824 c=20.353 alpha=90.00 beta=90.00 gamma=90.00
Element x y z (fractional)
Zn1 0.000 0.000 0.072
Zn2 0.000 0.000 0.215
Zn3 0.000 0.000 0.785
Zn4 0.000 0.000 0.928
Zn5 0.500 0.500 0.285
Zn6 0.500 0.500 0.428
Zn7 0.500 0.500 0.572
Zn8 0.500 0.500 0.715
Ag1 0.000 0.000 0.355
Ag2 0.000 0.000 0.500
Ag3 0.000 0.000 0.645
Ag4 0.500 0.500 0.000
Ag5 0.500 0.500 0.145
Ag6 0.500 0.500 0.855

Computed properties:
Energy relative to the elements = -0.59 kcal/mol of atoms
Uncorrected energy = -1.975 eV/atom

# ZnAg2

ZnAg2 after structural relaxation (GGA-PBE, Alexandria via LeMat-Bulk).

Unit cell a=2.940 b=2.940 c=11.624 alpha=90.00 beta=90.00 gamma=90.00
Element x y z (fractional)
Zn1 0.000 0.000 0.000
Zn2 0.500 0.500 0.500
Ag1 0.000 0.000 0.341
Ag2 0.000 0.000 0.659
Ag3 0.500 0.500 0.159
Ag4 0.500 0.500 0.841

Computed properties:
Energy relative to the elements = -0.40 kcal/mol of atoms
Uncorrected energy = -2.343 eV/atom

# ZnAg

ZnAg after structural relaxation (GGA-PBE, Alexandria via LeMat-Bulk).

Unit cell a=6.248 b=7.048 c=2.936 alpha=90.00 beta=90.00 gamma=90.00
Element x y z (fractional)
Zn1 0.214 0.000 0.000
Zn2 0.286 0.500 0.000
Zn3 0.714 0.500 0.000
Zn4 0.786 0.000 0.000
Ag1 0.000 0.283 0.500
Ag2 0.000 0.717 0.500
Ag3 0.500 0.217 0.500
Ag4 0.500 0.783 0.500

Computed properties:
Energy relative to the elements = -0.94 kcal/mol of atoms
Uncorrected energy = -2.103 eV/atom

# ZnAg2

ZnAg2 after structural relaxation (GGA-PBE, Alexandria via LeMat-Bulk).

Unit cell a=2.895 b=2.895 c=14.461 alpha=90.00 beta=90.00 gamma=120.00
Element x y z (fractional)
Zn1 0.333 0.667 0.250
Zn2 0.667 0.333 0.750
Ag1 0.000 0.000 0.096
Ag2 0.000 0.000 0.404
Ag3 0.000 0.000 0.596
Ag4 0.000 0.000 0.904

Computed properties:
Energy relative to the elements = 1.88 kcal/mol of atoms
Uncorrected energy = -2.244 eV/atom

# ZnAg3

ZnAg3 after structural relaxation (GGA-PBE, Alexandria via LeMat-Bulk).

Unit cell a=5.773 b=5.773 c=4.721 alpha=90.00 beta=90.00 gamma=120.00
Element x y z (fractional)
Zn1 0.333 0.667 0.250
Zn2 0.667 0.333 0.750
Ag1 0.169 0.337 0.750
Ag2 0.169 0.831 0.750
Ag3 0.337 0.169 0.250
Ag4 0.663 0.831 0.750
Ag5 0.831 0.169 0.250
Ag6 0.831 0.663 0.250

Computed properties:
Energy relative to the elements = -0.40 kcal/mol of atoms
Uncorrected energy = -2.474 eV/atom

# ZnAg

ZnAg after structural relaxation (GGA-PBE, Alexandria via LeMat-Bulk).

Unit cell a=8.336 b=8.336 c=4.070 alpha=90.00 beta=90.00 gamma=90.00
Element x y z (fractional)
Zn1 0.000 0.324 0.000
Zn2 0.000 0.676 0.000
Zn3 0.155 0.155 0.500
Zn4 0.155 0.845 0.500
Zn5 0.324 0.000 0.000
Zn6 0.676 0.000 0.000
Zn7 0.845 0.155 0.500
Zn8 0.845 0.845 0.500
Ag1 0.171 0.500 0.500
Ag2 0.326 0.326 0.000
Ag3 0.326 0.674 0.000
Ag4 0.500 0.171 0.500
Ag5 0.500 0.829 0.500
Ag6 0.674 0.326 0.000
Ag7 0.674 0.674 0.000
Ag8 0.829 0.500 0.500

Computed properties:
Energy relative to the elements = 1.53 kcal/mol of atoms
Uncorrected energy = -1.996 eV/atom

# Zn4Ag3

Zn4Ag3 after structural relaxation (GGA-PBE, Alexandria via LeMat-Bulk).

Unit cell a=2.979 b=2.979 c=25.306 alpha=90.00 beta=90.00 gamma=90.00
Element x y z (fractional)
Zn1 0.000 0.000 0.072
Zn2 0.000 0.000 0.362
Zn3 0.000 0.000 0.638
Zn4 0.000 0.000 0.928
Zn5 0.500 0.500 0.138
Zn6 0.500 0.500 0.428
Zn7 0.500 0.500 0.572
Zn8 0.500 0.500 0.862
Ag1 0.000 0.000 0.209
Ag2 0.000 0.000 0.500
Ag3 0.000 0.000 0.791
Ag4 0.500 0.500 0.000
Ag5 0.500 0.500 0.291
Ag6 0.500 0.500 0.709

Computed properties:
Energy relative to the elements = -0.33 kcal/mol of atoms
Uncorrected energy = -1.964 eV/atom

# Zn8Ag

Zn8Ag after structural relaxation (GGA-PBE, Alexandria via LeMat-Bulk).

Unit cell a=6.314 b=6.314 c=6.314 alpha=95.28 beta=95.28 gamma=144.69
Element x y z (fractional)
Zn1 0.000 0.336 0.336
Zn2 0.000 0.664 0.664
Zn3 0.330 0.330 0.661
Zn4 0.330 0.670 0.000
Zn5 0.336 0.000 0.336
Zn6 0.664 0.000 0.664
Zn7 0.670 0.330 0.000
Zn8 0.670 0.670 0.339
Ag1 0.000 0.000 0.000

Computed properties:
Energy relative to the elements = 0.41 kcal/mol of atoms
Uncorrected energy = -1.432 eV/atom

# Zn3Ag2

Zn3Ag2 after structural relaxation (GGA-PBE, Alexandria via LeMat-Bulk).

Unit cell a=2.938 b=2.938 c=18.442 alpha=90.00 beta=90.00 gamma=90.00
Element x y z (fractional)
Zn1 0.000 0.000 0.000
Zn2 0.000 0.000 0.204
Zn3 0.000 0.000 0.796
Zn4 0.500 0.500 0.296
Zn5 0.500 0.500 0.500
Zn6 0.500 0.500 0.704
Ag1 0.000 0.000 0.398
Ag2 0.000 0.000 0.602
Ag3 0.500 0.500 0.102
Ag4 0.500 0.500 0.898

Computed properties:
Energy relative to the elements = -0.44 kcal/mol of atoms
Uncorrected energy = -1.924 eV/atom

# Zn13Ag2

Zn13Ag2 after structural relaxation (GGA-PBE, Alexandria via LeMat-Bulk).

Unit cell a=7.704 b=7.704 c=7.704 alpha=53.73 beta=53.73 gamma=53.73
Element x y z (fractional)
Zn1 0.000 0.000 0.000
Zn2 0.119 0.119 0.494
Zn3 0.119 0.494 0.119
Zn4 0.262 0.262 0.631
Zn5 0.262 0.631 0.262
Zn6 0.369 0.738 0.738
Zn7 0.494 0.119 0.119
Zn8 0.506 0.881 0.881
Zn9 0.631 0.262 0.262
Zn10 0.738 0.369 0.738
Zn11 0.738 0.738 0.369
Zn12 0.881 0.506 0.881
Zn13 0.881 0.881 0.506
Ag1 0.132 0.132 0.132
Ag2 0.868 0.868 0.868

Computed properties:
Energy relative to the elements = 3.61 kcal/mol of atoms
Uncorrected energy = -1.328 eV/atom

# ZnAg3

ZnAg3 after structural relaxation (GGA-PBE, Alexandria via LeMat-Bulk).

Unit cell a=5.214 b=5.214 c=5.214 alpha=90.00 beta=90.00 gamma=90.00
Element x y z (fractional)
Zn1 0.000 0.000 0.000
Zn2 0.500 0.500 0.500
Ag1 0.000 0.250 0.500
Ag2 0.000 0.750 0.500
Ag3 0.250 0.500 0.000
Ag4 0.500 0.000 0.250
Ag5 0.500 0.000 0.750
Ag6 0.750 0.500 0.000

Computed properties:
Energy relative to the elements = 2.32 kcal/mol of atoms
Uncorrected energy = -2.356 eV/atom